Arrangement 1

Crystalline ZrIr3F at its relaxed geometry, computed with PBE.

Lattice parameters (Å, degrees): 4.939 4.939 4.939 90.00 90.00 90.00
Space group Pm-3m (No. 221)
One atom of each set of equivalent atoms:
Zr (0.000, 0.000, 0.000)
Ir (0.000, 0.000, 0.500)
F (0.500, 0.500, 0.500)

Output
* crystal system: cubic

Arrangement 2

Crystalline ZrIr3F at its relaxed geometry, computed with PBE.

Lattice parameters (Å, degrees): 4.303 4.303 4.303 90.00 90.00 90.00
Space group Pm-3m (No. 221)
One atom of each set of equivalent atoms:
Zr (0.000, 0.000, 0.000)
Ir (0.000, 0.500, 0.500)
F (0.500, 0.500, 0.500)

Output
* crystal system: cubic

The energy of each structure relative to the most stable one, in eV/atom, is as follows: arrangement 1 1.291; arrangement 2 0.000.

Arrangement 1

Crystalline ZrIrF2 at its relaxed geometry, computed with PBE.

Lattice parameters (Å, degrees): 3.789 3.789 15.568 90.00 90.00 90.00
Space group I-42d (No. 122)
One atom of each set of equivalent atoms:
Zr (0.000, 0.000, 0.000)
Ir (0.000, 0.000, 0.500)
F (0.210, 0.250, 0.125)

Output
* crystal system: tetragonal

Arrangement 2

Crystalline ZrIrF2 at its relaxed geometry, computed with PBE.

Lattice parameters (Å, degrees): 2.8454 2.8454 22.4636 90.00 90.00 120.00
Space group R-3m (No. 166, hexagonal axes)
One atom of each set of equivalent atoms:
Zr (0.0000, 0.0000, 0.0000)
Ir (0.0000, 0.0000, 0.5000)
F (0.0000, 0.0000, 0.4050)

Output
* crystal system: trigonal

The energy of each structure relative to the most stable one, in eV/atom, is as follows: arrangement 1 0.000; arrangement 2 0.128.

Arrangement 1

Crystalline K3F at its relaxed geometry, computed with PBE.

Lattice parameters (Å, degrees): 3.724 12.582 7.379 90.00 90.00 90.00
Space group Imm2 (No. 44)
One atom of each set of equivalent atoms:
K (0.000, 0.000, 0.000)
K (0.000, 0.144, 0.424)
F (0.000, 0.500, 0.782)

Output
* crystal system: orthorhombic

Arrangement 2

Crystalline K3F at its relaxed geometry, computed with PBE.

Lattice parameters (Å, degrees): 3.730 4.060 11.253 90.00 90.00 90.00
Space group Pmm2 (No. 25)
One atom of each set of equivalent atoms:
K (0.000, 0.000, 0.000)
K (0.000, 0.500, 0.271)
K (0.500, 0.500, 0.652)
F (0.500, 0.000, 0.177)

Output
* crystal system: orthorhombic

The energy of each structure relative to the most stable one, in eV/atom, is as follows: arrangement 1 0.000; arrangement 2 0.041.

Arrangement 1

Crystalline KF6 at its relaxed geometry, computed with PBE.

Lattice parameters (Å, degrees): 6.168 6.168 6.168 90.00 90.00 90.00
Space group Im-3m (No. 229)
One atom of each set of equivalent atoms:
K (0.000, 0.000, 0.000)
F (0.000, 0.250, 0.500)

Output
* crystal system: cubic

Arrangement 2

Crystalline KF6 at its relaxed geometry, computed with PBE.

Lattice parameters (Å, degrees): 3.879 3.879 7.690 90.00 90.00 90.00
Space group P4/mmm (No. 123)
One atom of each set of equivalent atoms:
K (0.000, 0.000, 0.000)
F (0.000, 0.500, 0.407)
F (0.500, 0.500, 0.128)

Output
* crystal system: tetragonal

The energy of each structure relative to the most stable one, in eV/atom, is as follows: arrangement 1 0.310; arrangement 2 0.000.

Arrangement 1

Crystalline KLa2F at its relaxed geometry, computed with PBE.

Lattice parameters (Å, degrees): 8.034 8.034 9.320 90.00 90.00 90.00
Space group I-42d (No. 122)
One atom of each set of equivalent atoms:
K (0.000, 0.000, 0.000)
La (0.107, 0.250, 0.625)
F (0.000, 0.000, 0.500)

Output
* crystal system: tetragonal

Arrangement 2

Crystalline KLa2F at its relaxed geometry, computed with PBE.

Lattice parameters (Å, degrees): 8.101 8.101 8.101 90.00 90.00 90.00
Space group Fm-3m (No. 225)
One atom of each set of equivalent atoms:
K (0.000, 0.000, 0.000)
La (0.250, 0.250, 0.250)
F (0.000, 0.000, 0.500)

Output
* crystal system: cubic

The energy of each structure relative to the most stable one, in eV/atom, is as follows: arrangement 1 0.000; arrangement 2 0.860.

Arrangement 1

Crystalline KLaOF2 at its relaxed geometry, computed with PBE.

Lattice parameters (Å, degrees): 4.367 4.367 4.851 90.00 90.00 90.00
Space group P4/mmm (No. 123)
One atom of each set of equivalent atoms:
K (0.000, 0.000, 0.000)
La (0.500, 0.500, 0.500)
O (0.000, 0.000, 0.500)
F (0.000, 0.500, 0.000)

Output
* crystal system: tetragonal

Arrangement 2

Crystalline KLaOF2 at its relaxed geometry, computed with PBE.

Lattice parameters (Å, degrees): 4.827 4.827 4.544 90.00 90.00 90.00
Space group P4/mmm (No. 123)
One atom of each set of equivalent atoms:
K (0.000, 0.000, 0.000)
La (0.500, 0.500, 0.500)
O (0.500, 0.500, 0.000)
F (0.000, 0.500, 0.500)

Output
* crystal system: tetragonal

The energy of each structure relative to the most stable one, in eV/atom, is as follows: arrangement 1 1.148; arrangement 2 0.000.

Arrangement 1

Crystalline KLiOF2 at its relaxed geometry, computed with PBE.

Lattice parameters (Å, degrees): 4.171 4.171 3.873 90.00 90.00 90.00
Space group P4/mmm (No. 123)
One atom of each set of equivalent atoms:
K (0.000, 0.000, 0.000)
Li (0.500, 0.500, 0.500)
O (0.500, 0.500, 0.000)
F (0.000, 0.500, 0.500)

Output
* crystal system: tetragonal

Arrangement 2

Crystalline KLiOF2 at its relaxed geometry, computed with PBE.

Lattice parameters (Å, degrees): 4.878 4.878 4.894 90.00 90.00 90.00
Space group P4/mmm (No. 123)
One atom of each set of equivalent atoms:
K (0.000, 0.000, 0.000)
Li (0.500, 0.500, 0.500)
O (0.000, 0.000, 0.500)
F (0.000, 0.500, 0.000)

Output
* crystal system: tetragonal

The energy of each structure relative to the most stable one, in eV/atom, is as follows: arrangement 1 0.000; arrangement 2 0.678.

Arrangement 1

Crystalline K2RbLiF at its relaxed geometry, computed with PBE.

Lattice parameters (Å, degrees): 7.624 7.624 4.885 90.00 90.00 90.00
Space group P4/mmm (No. 123)
One atom of each set of equivalent atoms:
K (0.000, 0.500, 0.000)
Rb (0.000, 0.000, 0.000)
Li (0.500, 0.500, 0.500)
F (0.000, 0.000, 0.500)

Output
* crystal system: tetragonal

Arrangement 2

Crystalline K2RbLiF at its relaxed geometry, computed with PBE.

Lattice parameters (Å, degrees): 5.663 5.663 6.021 90.00 90.00 90.00
Space group P4/mmm (No. 123)
One atom of each set of equivalent atoms:
K (0.000, 0.500, 0.000)
Rb (0.000, 0.000, 0.500)
Li (0.500, 0.500, 0.500)
F (0.000, 0.000, 0.000)

Output
* crystal system: tetragonal

The energy of each structure relative to the most stable one, in eV/atom, is as follows: arrangement 1 0.308; arrangement 2 0.000.

Arrangement 1

Crystalline KLiSF2 at its relaxed geometry, computed with PBE.

Lattice parameters (Å, degrees): 4.984 4.984 5.346 90.00 90.00 90.00
Space group P4/mmm (No. 123)
One atom of each set of equivalent atoms:
K (0.000, 0.000, 0.000)
Li (0.500, 0.500, 0.000)
S (0.000, 0.000, 0.500)
F (0.000, 0.500, 0.500)

Output
* crystal system: tetragonal

Arrangement 2

Crystalline KLiSF2 at its relaxed geometry, computed with PBE.

Lattice parameters (Å, degrees): 4.332 4.332 4.579 90.00 90.00 90.00
Space group P4/mmm (No. 123)
One atom of each set of equivalent atoms:
K (0.000, 0.000, 0.000)
Li (0.500, 0.500, 0.500)
S (0.500, 0.500, 0.000)
F (0.000, 0.500, 0.500)

Output
* crystal system: tetragonal

The energy of each structure relative to the most stable one, in eV/atom, is as follows: arrangement 1 0.848; arrangement 2 0.000.

Arrangement 1

Crystalline K2MgF at its relaxed geometry, computed with PBE.

Lattice parameters (Å, degrees): 8.288 8.288 8.288 90.00 90.00 90.00
Space group Fm-3m (No. 225)
One atom of each set of equivalent atoms:
K (0.250, 0.250, 0.250)
Mg (0.000, 0.000, 0.000)
F (0.000, 0.000, 0.500)

Output
* crystal system: cubic

Arrangement 2

Crystalline K2MgF at its relaxed geometry, computed with PBE.

Lattice parameters (Å, degrees): 7.996 7.996 9.940 90.00 90.00 90.00
Space group I-42d (No. 122)
One atom of each set of equivalent atoms:
K (0.111, 0.250, 0.125)
Mg (0.000, 0.000, 0.500)
F (0.000, 0.000, 0.000)

Output
* crystal system: tetragonal

The energy of each structure relative to the most stable one, in eV/atom, is as follows: arrangement 1 0.447; arrangement 2 0.000.

Arrangement 1

Crystalline KMgF2 at its relaxed geometry, computed with PBE.

Lattice parameters (Å, degrees): 3.8117 3.8117 20.3437 90.00 90.00 120.00
Space group R-3m (No. 166, hexagonal axes)
One atom of each set of equivalent atoms:
K (0.0000, 0.0000, 0.0000)
Mg (0.0000, 0.0000, 0.5000)
F (0.0000, 0.0000, 0.4071)

Output
* crystal system: trigonal

Arrangement 2

Crystalline KMgF2 at its relaxed geometry, computed with PBE.

Lattice parameters (Å, degrees): 3.4769 3.4769 22.0300 90.00 90.00 120.00
Space group R-3m (No. 166, hexagonal axes)
One atom of each set of equivalent atoms:
K (0.0000, 0.0000, 0.0000)
Mg (0.0000, 0.0000, 0.5000)
F (0.0000, 0.0000, 0.1270)

Output
* crystal system: trigonal

The energy of each structure relative to the most stable one, in eV/atom, is as follows: arrangement 1 0.000; arrangement 2 0.132.

Arrangement 1

Crystalline KMgF2 at its relaxed geometry, computed with PBE.

Lattice parameters (Å, degrees): 6.452 6.452 6.452 90.00 90.00 90.00
Space group Fm-3m (No. 225)
One atom of each set of equivalent atoms:
K (0.000, 0.000, 0.000)
Mg (0.000, 0.000, 0.500)
F (0.250, 0.250, 0.250)

Output
* crystal system: cubic

Arrangement 2

Crystalline KMgF2 at its relaxed geometry, computed with PBE.

Lattice parameters (Å, degrees): 5.846 5.846 9.994 90.00 90.00 90.00
Space group I-42d (No. 122)
One atom of each set of equivalent atoms:
K (0.000, 0.000, 0.000)
Mg (0.000, 0.000, 0.500)
F (0.101, 0.250, 0.625)

Output
* crystal system: tetragonal

The energy of each structure relative to the most stable one, in eV/atom, is as follows: arrangement 1 0.532; arrangement 2 0.000.